DFT (PBE) results for a relaxed structure of AcYSbO2.

Values from the calculation:
E_form (uncorrected) in meV/atom: -2619
Total magnetic moment in μB/atom: 0.00
DFT total energy in Ha/atom: -0.2771

Lattice parameters (Å, degrees): 4.022 4.022 14.023 90.00 90.00 90.00
Space group I4mm (No. 107)
Unique sites:
Ac 0.000 0.000 0.000 (multiplicity 2)
Y 0.000 0.000 0.327 (multiplicity 2)
Sb 0.000 0.000 0.670 (multiplicity 2)
O 0.000 0.500 0.402 (multiplicity 4)

DFT (PBE) results for a relaxed structure of AcSmF.

Values from the calculation:
E_form (uncorrected) in meV/atom: -1513
Total magnetic moment in μB/atom: 0.00
DFT total energy in Ha/atom: -0.1867

Lattice parameters (Å, degrees): 3.9958 3.9958 6.0175 90.00 90.00 120.00
Space group P3m1 (No. 156)
Unique sites:
Ac 0.0000 0.0000 0.0000 (multiplicity 1)
Sm 0.6667 0.3333 0.5095 (multiplicity 1)
F 0.3333 0.6667 0.7254 (multiplicity 1)

DFT (PBE) results for a relaxed structure of HfZr2Se.

Values from the calculation:
E_form (uncorrected) in meV/atom: -167
Total magnetic moment in μB/atom: 0.00
DFT total energy in Ha/atom: -0.2867

Lattice parameters (Å, degrees): 8.276 8.276 5.344 90.00 90.00 90.00
Space group I-42d (No. 122)
Unique sites:
Hf 0.000 0.000 0.000 (multiplicity 4)
Zr 0.187 0.750 0.625 (multiplicity 8)
Se 0.000 0.000 0.500 (multiplicity 4)